! La7PrCd4 | Alexandria | GGA-PBE | relaxed; values from VASP
! density = 6.8 g/cm3
! formation energy from the elements = -0.137 eV per atom
! space group = No. 2
! energy above the most stable polymorph in this dataset = 0.0 meV per atom
&SYSTEM
  ibrav = 0, nat = 12, ntyp = 3
/
ATOMIC_SPECIES
La 138.91 La.upf
Pr 140.91 Pr.upf
Cd 112.41 Cd.upf
CELL_PARAMETERS angstrom
-0.992 -3.418 5.459
-4.167 -7.872 1.384
6.398 -5.831 -2.166
ATOMIC_POSITIONS crystal
La 0.771 0.503 0.929
La 0.229 0.497 0.071
La 0.040 0.294 0.620
La 0.960 0.706 0.380
La 0.352 0.814 0.581
La 0.500 0.000 0.000
La 0.648 0.186 0.419
Pr 0.000 0.000 0.000
Cd 0.559 0.614 0.270
Cd 0.441 0.386 0.730
Cd 0.858 0.813 0.723
Cd 0.142 0.187 0.277

! LaPrCd6 | Alexandria | GGA-PBE | relaxed; values from VASP
! density = 7.6 g/cm3
! formation energy from the elements = -0.312 eV per atom
! space group = No. 38
&SYSTEM
  ibrav = 0, nat = 8, ntyp = 3
/
ATOMIC_SPECIES
La 138.91 La.upf
Pr 140.91 Pr.upf
Cd 112.41 Cd.upf
CELL_PARAMETERS angstrom
-4.550 2.097 0.032
-0.061 -0.236 6.822
2.569 5.618 -2.905
ATOMIC_POSITIONS crystal
La 0.000 0.099 0.901
Pr 0.500 0.401 0.599
Cd 0.000 0.056 0.383
Cd 0.000 0.617 0.944
Cd 0.000 0.583 0.417
Cd 0.500 0.446 0.117
Cd 0.500 0.883 0.554
Cd 0.500 0.915 0.085

! La6Pr2Cd | Alexandria | GGA-PBE | relaxed; values from VASP
! density = 6.4 g/cm3
! formation energy from the elements = -0.031 eV per atom
! space group = No. 58
! energy above the most stable polymorph in this dataset = 23.5 meV per atom
&SYSTEM
  ibrav = 0, nat = 18, ntyp = 3
/
ATOMIC_SPECIES
La 138.91 La.upf
Pr 140.91 Pr.upf
Cd 112.41 Cd.upf
CELL_PARAMETERS angstrom
-5.158 1.441 -1.426
-2.869 -10.336 -0.070
-2.679 0.673 10.368
ATOMIC_POSITIONS crystal
La 0.000 0.035 0.182
La 0.000 0.682 0.536
La 0.000 0.631 0.870
La 0.500 0.131 0.630
La 0.500 0.182 0.964
La 0.500 0.535 0.318
La 0.000 0.965 0.818
La 0.000 0.318 0.464
La 0.000 0.369 0.130
La 0.500 0.869 0.370
La 0.500 0.818 0.036
La 0.500 0.465 0.682
Pr 0.000 0.289 0.788
Pr 0.500 0.789 0.712
Pr 0.500 0.211 0.288
Pr 0.000 0.711 0.212
Cd 0.500 0.500 0.000
Cd 0.000 0.000 0.500

! La4Pr3Cd | Alexandria | GGA-PBE | relaxed; values from VASP
! density = 6.5 g/cm3
! formation energy from the elements = -0.001 eV per atom
! space group = No. 123
! energy above the most stable polymorph in this dataset = 53.3 meV per atom
&SYSTEM
  ibrav = 0, nat = 8, ntyp = 3
/
ATOMIC_SPECIES
Pr 140.91 Pr.upf
Cd 112.41 Cd.upf
La 138.91 La.upf
CELL_PARAMETERS angstrom
-0.855 2.167 3.560
-2.636 -3.096 1.252
11.704 -7.086 7.124
ATOMIC_POSITIONS crystal
Pr 0.500 0.500 0.253
Pr 0.500 0.500 0.500
Pr 0.500 0.500 0.747
Cd 0.500 0.500 0.000
La 0.000 0.000 0.889
La 0.000 0.000 0.111
La 0.000 0.000 0.381
La 0.000 0.000 0.619

! La4Pr3Cd2 | Alexandria | GGA-PBE | relaxed; values from VASP
! density = 6.6 g/cm3
! formation energy from the elements = -0.079 eV per atom
! space group = No. 12
! energy above the most stable polymorph in this dataset = 0.0 meV per atom
&SYSTEM
  ibrav = 0, nat = 9, ntyp = 3
/
ATOMIC_SPECIES
La 138.91 La.upf
Pr 140.91 Pr.upf
Cd 112.41 Cd.upf
CELL_PARAMETERS angstrom
-1.952 4.057 -2.676
-5.906 -4.405 -2.370
-0.863 1.567 8.130
ATOMIC_POSITIONS crystal
La 0.553 0.334 0.105
La 0.778 0.695 0.556
La 0.447 0.666 0.895
La 0.222 0.305 0.444
Pr 0.883 0.319 0.767
Pr 0.117 0.681 0.233
Pr 0.000 0.000 0.000
Cd 0.341 0.002 0.682
Cd 0.659 0.998 0.318

! LaPr2Cd3 | Alexandria | GGA-PBE | relaxed; values from VASP
! density = 7.1 g/cm3
! formation energy from the elements = -0.320 eV per atom
! space group = No. 123
&SYSTEM
  ibrav = 0, nat = 6, ntyp = 3
/
ATOMIC_SPECIES
La 138.91 La.upf
Pr 140.91 Pr.upf
Cd 112.41 Cd.upf
CELL_PARAMETERS angstrom
-1.256 -3.683 0.171
2.421 -0.687 2.973
-8.391 3.215 7.576
ATOMIC_POSITIONS crystal
La 0.500 0.500 0.500
Pr 0.500 0.500 0.835
Pr 0.500 0.500 0.165
Cd 0.000 0.000 0.000
Cd 0.000 0.000 0.671
Cd 0.000 0.000 0.329

Number 1: total moment 0.00 μB per formula unit. Number 2: total moment 0.00 μB per formula unit. Number 3: total moment 0.00 μB per formula unit. Number 4: total moment 0.00 μB per formula unit. Number 5: total moment 0.00 μB per formula unit. Number 6: total moment 1.14 μB per formula unit.